# 1
# RbBaErI6

Crystalline RbBaErI6 at its relaxed geometry (GGA-PBE, Alexandria).

Unit cell a=8.532 b=8.532 c=15.415 alpha=90.00 beta=90.00 gamma=120.00
Positions (direct):
Rb  0.000  0.000  0.000
Rb  0.000  0.000  0.500
Ba  0.333  0.667  0.250
Ba  0.667  0.333  0.750
Er  0.333  0.667  0.750
Er  0.667  0.333  0.250
I  0.039  0.386  0.634
I  0.039  0.653  0.866
I  0.347  0.386  0.866
I  0.347  0.961  0.634
I  0.386  0.039  0.134
I  0.386  0.347  0.366
I  0.614  0.653  0.634
I  0.614  0.961  0.866
I  0.653  0.039  0.366
I  0.653  0.614  0.134
I  0.961  0.347  0.134
I  0.961  0.614  0.366

uncorrected energy: -0.2501 Ry per atom
ΔE_f (raw): -1.5418 eV/atom
crystal system: trigonal
density: 3.94 g cm⁻³
magnetization: 0.00 μB per cell


# 2
# BaTa2

Crystalline BaTa2 at its relaxed geometry (GGA-PBE, Alexandria).

Unit cell a=8.546 b=8.546 c=6.054 alpha=90.00 beta=90.00 gamma=159.51
Positions (direct):
Ba  0.133  0.867  0.750
Ba  0.867  0.133  0.250
Ta  0.182  0.818  0.250
Ta  0.451  0.549  0.750
Ta  0.549  0.451  0.250
Ta  0.818  0.182  0.750

uncorrected energy: -0.5366 Ry per atom
calculated formation energy: 1.241 eV/atom
crystal system: orthorhombic
E above lowest polymorph: 696.0 meV per atom
density: 10.71 g cm⁻³
magnetization: 0.00 μB per cell


# 3
# CaHf3Rh

Crystalline CaHf3Rh at its relaxed geometry (GGA-PBE, Alexandria).

Unit cell a=4.864 b=4.864 c=4.864 alpha=90.00 beta=90.00 gamma=90.00
Positions (direct):
Ca  0.000  0.000  0.000
Hf  0.000  0.000  0.500
Hf  0.000  0.500  0.000
Hf  0.500  0.000  0.000
Rh  0.500  0.500  0.500

uncorrected energy: -0.4374 Ry per atom
calculated formation energy: 1.892 eV/atom
crystal system: cubic
E above lowest polymorph: 1711.1 meV per atom
density: 9.79 g cm⁻³
magnetization: 0.00 μB per cell


# 4
# Tm8ScAl2

Crystalline Tm8ScAl2 at its relaxed geometry (GGA-PBE, Alexandria).

Unit cell a=8.407 b=8.407 c=5.403 alpha=101.71 beta=101.71 gamma=118.07
Positions (direct):
Tm  0.090  0.325  0.613
Tm  0.217  0.783  0.000
Tm  0.325  0.090  0.613
Tm  0.394  0.394  0.201
Tm  0.606  0.606  0.799
Tm  0.675  0.910  0.387
Tm  0.783  0.217  0.000
Tm  0.910  0.675  0.387
Sc  0.000  0.000  0.000
Al  0.307  0.693  0.500
Al  0.693  0.307  0.500

uncorrected energy: -0.3307 Ry per atom
calculated formation energy: 0.008 eV/atom
crystal system: monoclinic
density: 7.78 g cm⁻³
magnetization: 0.00 μB per cell